BaAlS2N | Alexandria | PBE-GGA | optimized geometry; energy relative to the lowest polymorph listed for this composition = 1.6844 eV/atom; raw total energy = -17.514 eV per cell; SG = P4/mmm, No. 123
1.0
5.953 0.000 0.000
0.000 5.953 0.000
0.000 0.000 5.281
Ba Al S N
1 1 2 1
Direct
0.000 0.000 0.000
0.500 0.500 0.500
0.000 0.500 0.000
0.500 0.000 0.000
0.000 0.000 0.500

***

Hg5Mo3 | Alexandria | PBE-GGA | optimized geometry; raw total energy = -29.299 eV per cell; SG = Cmmm, No. 65
1.0
4.018 -4.518 0.000
4.018 4.518 0.000
0.000 0.000 4.221
Hg Mo
5 3
Direct
0.000 0.000 0.000
0.000 0.500 0.000
0.237 0.763 0.500
0.500 0.000 0.000
0.763 0.237 0.500
0.288 0.288 0.500
0.500 0.500 0.000
0.712 0.712 0.500

***

Tl2BiPbAu2 | Alexandria | PBE-GGA | optimized geometry; raw total energy = -38.093 eV per cell; SG = Pmc2_1, No. 26
1.0
4.442 0.000 0.000
0.000 9.353 0.000
0.000 0.000 7.781
Tl Bi Pb Au
4 2 2 4
Direct
0.000 0.084 0.000
0.000 0.916 0.500
0.500 0.173 0.324
0.500 0.827 0.824
0.500 0.422 0.953
0.500 0.578 0.453
0.000 0.325 0.610
0.000 0.675 0.110
0.000 0.371 0.220
0.000 0.629 0.720
0.500 0.135 0.729
0.500 0.865 0.229

***

LaMgGe2Rh | Alexandria | PBE-GGA | optimized geometry; raw total energy = -26.769 eV per cell; SG = I-4m2, No. 119
1.0
-2.109 2.109 5.634
2.109 -2.109 5.634
2.109 2.109 -5.634
La Mg Ge Rh
1 1 2 1
Direct
0.000 0.000 0.000
0.250 0.750 0.500
0.387 0.387 0.000
0.613 0.613 0.000
0.750 0.250 0.500

***

BAs2F | Alexandria | PBE-GGA | optimized geometry; energy relative to the lowest polymorph listed for this composition = 0.0000 eV/atom; raw total energy = -35.611 eV per cell; SG = I-42d, No. 122
1.0
-2.614 2.614 5.118
2.614 -2.614 5.118
2.614 2.614 -5.118
B As F
2 4 2
Direct
0.000 0.000 0.000
0.750 0.250 0.500
0.063 0.625 0.938
0.375 0.313 0.438
0.687 0.125 0.062
0.875 0.937 0.562
0.250 0.750 0.500
0.500 0.500 0.000

***

Sr2ZrCdBr | Alexandria | PBE-GGA | optimized geometry; raw total energy = -14.642 eV per cell; SG = P4/mmm, No. 123
1.0
5.811 0.000 0.000
0.000 5.811 0.000
0.000 0.000 5.119
Sr Zr Cd Br
2 1 1 1
Direct
0.000 0.500 0.000
0.500 0.000 0.000
0.000 0.000 0.500
0.500 0.500 0.500
0.000 0.000 0.000

***

ScMnCl2 | Alexandria | PBE-GGA | optimized geometry; energy relative to the lowest polymorph listed for this composition = 0.3192 eV/atom; raw total energy = -21.571 eV per cell; SG = Cmmm, No. 65
1.0
1.670 -2.920 0.000
1.670 2.920 0.000
0.000 0.000 9.775
Sc Mn Cl
1 1 2
Direct
0.000 0.000 0.000
0.000 0.000 0.500
0.500 0.500 0.194
0.500 0.500 0.806

***

PmAsPt2 | Alexandria | PBE-GGA | optimized geometry; raw total energy = -24.869 eV per cell; SG = Pmmm, No. 47
1.0
3.891 0.000 0.000
0.000 4.159 0.000
0.000 0.000 5.420
Pm As Pt
1 1 2
Direct
0.000 0.000 0.000
0.500 0.000 0.500
0.500 0.500 0.244
0.500 0.500 0.756

***

BaBeHg2Au | Alexandria | PBE-GGA | optimized geometry; raw total energy = -10.839 eV per cell; SG = P4/mmm, No. 123
1.0
4.980 0.000 0.000
0.000 4.980 0.000
0.000 0.000 4.960
Ba Be Hg Au
1 1 2 1
Direct
0.000 0.000 0.000
0.500 0.500 0.500
0.000 0.500 0.500
0.500 0.000 0.500
0.500 0.500 0.000

***

Sm8DyTl6 | Alexandria | PBE-GGA | optimized geometry; raw total energy = -58.866 eV per cell; SG = R-3, No. 148
1.0
4.629 2.672 6.587
-4.629 2.672 6.587
0.000 -5.345 6.587
Sm Dy Tl
8 1 6
Direct
0.055 0.724 0.390
0.166 0.166 0.166
0.276 0.610 0.945
0.390 0.055 0.724
0.610 0.945 0.276
0.724 0.390 0.055
0.834 0.834 0.834
0.945 0.276 0.610
0.500 0.500 0.500
0.110 0.440 0.769
0.231 0.890 0.560
0.440 0.769 0.110
0.560 0.231 0.890
0.769 0.110 0.440
0.890 0.560 0.231

***

CuPbAu2 | Alexandria | PBE-GGA | optimized geometry; raw total energy = -14.025 eV per cell; SG = C2/m, No. 12
1.0
5.389 -1.650 0.000
5.389 1.650 0.000
-2.140 0.000 4.392
Cu Pb Au
1 1 2
Direct
0.000 0.000 0.000
0.500 0.500 0.500
0.285 0.285 0.785
0.715 0.715 0.215

***

Cr2MoPtRh | Alexandria | PBE-GGA | optimized geometry; raw total energy = -34.171 eV per cell; SG = P4/mmm, No. 123
1.0
4.414 0.000 0.000
0.000 4.414 0.000
0.000 0.000 4.808
Cr Mo Pt Rh
2 1 1 1
Direct
0.000 0.500 0.000
0.500 0.000 0.000
0.000 0.000 0.500
0.500 0.500 0.000
0.500 0.500 0.500

***

Pm2YEr9 | Alexandria | PBE-GGA | optimized geometry; raw total energy = -56.736 eV per cell; SG = P4/mmm, No. 123
1.0
5.002 0.000 0.000
0.000 5.002 0.000
0.000 0.000 15.004
Pm Y Er
2 1 9
Direct
0.000 0.000 0.167
0.000 0.000 0.833
0.000 0.000 0.500
0.000 0.500 0.000
0.000 0.500 0.334
0.000 0.500 0.666
0.500 0.000 0.000
0.500 0.000 0.334
0.500 0.000 0.666
0.500 0.500 0.167
0.500 0.500 0.500
0.500 0.500 0.833

***

Tb2Dy3Y5 | Alexandria | PBE-GGA | optimized geometry; energy relative to the lowest polymorph listed for this composition = 0.0000 eV/atom; raw total energy = -106.928 eV per cell; SG = C2/c, No. 15
1.0
5.357 -7.975 0.000
5.357 7.975 0.000
-5.353 0.000 7.719
Tb Dy Y
4 6 10
Direct
0.022 0.267 0.045
0.267 0.022 0.545
0.733 0.978 0.455
0.978 0.733 0.955
0.027 0.973 0.750
0.226 0.469 0.452
0.469 0.226 0.952
0.531 0.774 0.048
0.774 0.531 0.548
0.973 0.027 0.250
0.139 0.372 0.760
0.230 0.770 0.750
0.272 0.728 0.250
0.372 0.139 0.260
0.472 0.528 0.250
0.528 0.472 0.750
0.628 0.861 0.740
0.728 0.272 0.750
0.770 0.230 0.250
0.861 0.628 0.240

***

ErBiO | Alexandria | PBE-GGA | optimized geometry; energy relative to the lowest polymorph listed for this composition = 0.1243 eV/atom; raw total energy = -19.427 eV per cell; SG = P3m1, No. 156
1.0
3.568 0.000 0.000
-1.784 3.090 0.000
0.000 0.000 6.864
Er Bi O
1 1 1
Direct
0.000 0.000 0.000
0.333 0.667 0.594
0.667 0.333 0.083

***

Nd6Er7Tm16 | Alexandria | PBE-GGA | optimized geometry; raw total energy = -125.035 eV per cell; SG = Fm-3m, No. 225
1.0
0.000 7.838 7.838
7.838 0.000 7.838
7.838 7.838 0.000
Nd Er Tm
6 7 16
Direct
0.217 0.217 0.783
0.217 0.783 0.217
0.217 0.783 0.783
0.783 0.217 0.217
0.783 0.217 0.783
0.783 0.783 0.217
0.000 0.000 0.500
0.000 0.500 0.000
0.000 0.500 0.500
0.500 0.000 0.000
0.500 0.000 0.500
0.500 0.500 0.000
0.500 0.500 0.500
0.133 0.622 0.622
0.155 0.155 0.155
0.155 0.155 0.535
0.155 0.535 0.155
0.378 0.378 0.378
0.378 0.378 0.867
0.378 0.867 0.378
0.465 0.845 0.845
0.535 0.155 0.155
0.622 0.133 0.622
0.622 0.622 0.133
0.622 0.622 0.622
0.845 0.465 0.845
0.845 0.845 0.465
0.845 0.845 0.845
0.867 0.378 0.378

***

MgSc2Ga | Alexandria | PBE-GGA | optimized geometry; raw total energy = -16.324 eV per cell; SG = Immm, No. 71
1.0
-1.554 2.560 6.023
1.554 -2.560 6.023
1.554 2.560 -6.023
Mg Sc Ga
1 2 1
Direct
0.000 0.000 0.000
0.272 0.272 0.000
0.728 0.728 0.000
0.500 0.500 0.000

***

Be6CoOs | Alexandria | PBE-GGA | optimized geometry; raw total energy = -169.747 eV per cell; SG = Cmmm, No. 65
1.0
3.063 -4.851 0.000
3.063 4.851 0.000
0.000 0.000 9.726
Be Co Os
24 4 4
Direct
0.000 0.000 0.000
0.000 0.000 0.500
0.112 0.367 0.120
0.112 0.367 0.880
0.148 0.403 0.364
0.148 0.403 0.636
0.249 0.751 0.239
0.249 0.751 0.761
0.367 0.112 0.120
0.367 0.112 0.880
0.403 0.148 0.364
0.403 0.148 0.636
0.500 0.500 0.000
0.500 0.500 0.500
0.597 0.852 0.364
0.597 0.852 0.636
0.633 0.888 0.120
0.633 0.888 0.880
0.751 0.249 0.239
0.751 0.249 0.761
0.852 0.597 0.364
0.852 0.597 0.636
0.888 0.633 0.120
0.888 0.633 0.880
0.268 0.732 0.000
0.500 0.500 0.230
0.500 0.500 0.770
0.732 0.268 0.000
0.000 0.000 0.262
0.000 0.000 0.738
0.238 0.762 0.500
0.762 0.238 0.500

***

Zr3Sb2Pt | Alexandria | PBE-GGA | optimized geometry; raw total energy = -176.448 eV per cell; SG = Pnma, No. 62
1.0
11.714 0.000 0.000
0.000 4.139 0.000
0.000 0.000 11.040
Zr Sb Pt
12 8 4
Direct
0.062 0.250 0.108
0.130 0.750 0.552
0.246 0.750 0.258
0.254 0.250 0.758
0.370 0.250 0.052
0.438 0.750 0.608
0.562 0.250 0.392
0.630 0.750 0.948
0.746 0.750 0.242
0.754 0.250 0.742
0.870 0.250 0.448
0.938 0.750 0.892
0.013 0.250 0.711
0.185 0.750 0.979
0.315 0.250 0.479
0.487 0.750 0.211
0.513 0.250 0.789
0.685 0.750 0.521
0.815 0.250 0.021
0.987 0.750 0.289
0.107 0.250 0.375
0.393 0.750 0.875
0.607 0.250 0.125
0.893 0.750 0.625

***

ScTc2AuS | Alexandria | PBE-GGA | optimized geometry; raw total energy = -27.212 eV per cell; SG = P4/mmm, No. 123
1.0
4.973 0.000 0.000
0.000 4.973 0.000
0.000 0.000 5.108
Sc Tc Au S
1 2 1 1
Direct
0.000 0.000 0.000
0.000 0.500 0.500
0.500 0.000 0.500
0.000 0.000 0.500
0.500 0.500 0.000